(1)
Density functional theory data (PBE) for a relaxed structure of LiTa2Be.

Its space group is F-43m. The crystal system is cubic.

Lattice parameters (Å, degrees): 4.431 4.431 4.431 60.00 60.00 60.00
Element x y z (fractional)
Li1 0.500 0.500 0.500
Be1 0.250 0.250 0.250
Ta1 0.750 0.750 0.750
Ta2 0.000 0.000 0.000



(2)
Density functional theory data (PBE) for a relaxed structure of LiBeTc.

Its space group is F-43m. The crystal system is cubic.

Lattice parameters (Å, degrees): 3.778 3.778 3.778 60.00 60.00 60.00
Element x y z (fractional)
Li1 0.250 0.250 0.250
Be1 0.000 0.000 0.000
Tc1 0.750 0.750 0.750



(3)
Density functional theory data (PBE) for a relaxed structure of Li2BeTc.

Its space group is F-43m. The crystal system is cubic.

Lattice parameters (Å, degrees): 4.019 4.019 4.019 60.00 60.00 60.00
Element x y z (fractional)
Tc1 0.250 0.250 0.250
Be1 0.500 0.500 0.500
Li1 0.750 0.750 0.750
Li2 0.000 0.000 0.000



(4)
Density functional theory data (PBE) for a relaxed structure of LiTmBeTe3.

Its space group is Cmcm. The crystal system is orthorhombic.

Lattice parameters (Å, degrees): 7.424 7.424 11.356 90.00 90.00 147.87
Element x y z (fractional)
Li1 0.812 0.188 0.750
Li2 0.188 0.812 0.250
Tm1 0.000 0.000 0.000
Tm2 0.000 0.000 0.500
Te1 0.359 0.641 0.580
Te2 0.079 0.921 0.750
Te3 0.641 0.359 0.420
Te4 0.921 0.079 0.250
Te5 0.641 0.359 0.080
Te6 0.359 0.641 0.920
Be1 0.472 0.528 0.750
Be2 0.528 0.472 0.250



(5)
Density functional theory data (PBE) for a relaxed structure of LiTmBe.

Its space group is F-43m. The crystal system is cubic.

Lattice parameters (Å, degrees): 4.528 4.528 4.528 60.00 60.00 60.00
Element x y z (fractional)
Tm1 0.000 0.000 0.000
Be1 0.250 0.250 0.250
Li1 0.750 0.750 0.750



(6)
Density functional theory data (PBE) for a relaxed structure of LiUBe.

Its space group is F-43m. The crystal system is cubic.

Lattice parameters (Å, degrees): 4.365 4.365 4.365 60.00 60.00 60.00
Element x y z (fractional)
Li1 0.250 0.250 0.250
U1 0.750 0.750 0.750
Be1 0.000 0.000 0.000



What E_tot values result from the calculations? In sequence: -6.679, -4.656, -4.089, -4.148, -2.496, -4.623 eV per atom.
What magnetization values result from the calculations? In sequence: 0.004, 1.614, 1.006, 0.002, 0.026, 2.650 μB per formula unit.